The following is a DFT calculation (PBE) of an optimized crystal structure of Ba2AuI.

The structure belongs to space group R-3m (No. 166, hexagonal axes); the cell edges are 4.7495, 4.7495 and 26.5954 Å and the angles 90.00°, 90.00° and 120.00°. The inequivalent atoms are Ba at (0.0000, 0.0000, 0.2359), Au at (0.0000, 0.0000, 0.5000) and I at (0.0000, 0.0000, 0.0000).

The value obtained for the density of states at the Fermi level is 0.290 states/eV per atom. The magnetic moment comes out at 0.0 μB per formula unit. The calculation puts the energy above the lowest structure with this stoichiometry at 0.000 eV per atom. The volume comes out at 519.6 Å³/cell.